## w
Density functional theory data (PBE) for crystalline Zr3InH2 at its relaxed geometry.

Lattice parameters (Å, degrees): 8.302 8.302 7.802 93.28 93.28 21.78
Element x y z (fractional)
Zr: 0.036 0.036 0.197
Zr: 0.270 0.270 0.707
Zr: 0.406 0.406 0.455
Zr: 0.594 0.594 0.545
Zr: 0.730 0.730 0.293
Zr: 0.964 0.964 0.803
In: 0.360 0.360 0.066
In: 0.640 0.640 0.934
H: 0.065 0.065 0.680
H: 0.280 0.280 0.439
H: 0.720 0.720 0.561
H: 0.935 0.935 0.320

As for the space-group type: No. 12. Its density of states at the Fermi level is 3.19 states/eV/f.u. Its crystal system is monoclinic.

***

## x
Density functional theory data (PBE) for crystalline Zr3InH2 at its relaxed geometry.

Lattice parameters (Å, degrees): 6.304 6.304 5.151 90.00 90.00 110.77
Element x y z (fractional)
Zr: 0.132 0.868 0.750
Zr: 0.176 0.393 0.750
Zr: 0.393 0.176 0.250
Zr: 0.607 0.824 0.750
Zr: 0.824 0.607 0.250
Zr: 0.868 0.132 0.250
In: 0.329 0.671 0.250
In: 0.671 0.329 0.750
H: 0.138 0.138 0.000
H: 0.138 0.138 0.500
H: 0.862 0.862 0.000
H: 0.862 0.862 0.500

As for the space-group type: No. 63. Its density of states at the Fermi level is 3.95 states/eV/f.u. Its crystal system is orthorhombic.

***

Stability, highest: x

***

## w
Density functional theory data (PBE) for crystalline Zr2InH2 at its relaxed geometry.

Lattice parameters (Å, degrees): 5.475 5.475 6.132 103.52 103.52 118.39
Element x y z (fractional)
Zr: 0.040 0.960 0.750
Zr: 0.290 0.710 0.250
Zr: 0.710 0.290 0.750
Zr: 0.960 0.040 0.250
In: 0.375 0.625 0.750
In: 0.625 0.375 0.250
H: 0.000 0.251 0.001
H: 0.000 0.749 0.999
H: 0.251 0.000 0.501
H: 0.749 0.000 0.499

As for the space-group type: No. 15. Its density of states at the Fermi level is 2.59 states/eV/f.u. Its crystal system is monoclinic.

***

## x
Density functional theory data (PBE) for crystalline Zr2InH2 at its relaxed geometry.

Lattice parameters (Å, degrees): 5.580 5.580 5.580 139.90 139.90 58.01
Element x y z (fractional)
Zr: 0.165 0.165 0.000
Zr: 0.835 0.835 0.000
In: 0.500 0.500 0.000
H: 0.250 0.750 0.500
H: 0.750 0.250 0.500

As for the space-group type: No. 139. Its density of states at the Fermi level is 3.09 states/eV/f.u. Its crystal system is tetragonal.

***

Stability, highest: x

***

## w
Density functional theory data (PBE) for crystalline Zr3InH3 at its relaxed geometry.

Lattice parameters (Å, degrees): 8.382 8.382 8.382 39.52 39.52 39.52
Element x y z (fractional)
Zr: 0.066 0.398 0.727
Zr: 0.273 0.934 0.602
Zr: 0.398 0.727 0.066
Zr: 0.602 0.273 0.934
Zr: 0.727 0.066 0.398
Zr: 0.934 0.602 0.273
In: 0.166 0.166 0.166
In: 0.834 0.834 0.834
H: 0.024 0.696 0.358
H: 0.304 0.642 0.976
H: 0.358 0.024 0.696
H: 0.642 0.976 0.304
H: 0.696 0.358 0.024
H: 0.976 0.304 0.642

As for the space-group type: No. 148. Its density of states at the Fermi level is 4.37 states/eV/f.u. Its crystal system is trigonal.

***

## x
Density functional theory data (PBE) for crystalline Zr3InH3 at its relaxed geometry.

Lattice parameters (Å, degrees): 5.815 5.815 5.815 90.00 90.00 90.00
Element x y z (fractional)
Zr: 0.000 0.250 0.500
Zr: 0.000 0.750 0.500
Zr: 0.250 0.500 0.000
Zr: 0.500 0.000 0.250
Zr: 0.500 0.000 0.750
Zr: 0.750 0.500 0.000
In: 0.000 0.000 0.000
In: 0.500 0.500 0.500
H: 0.000 0.500 0.250
H: 0.000 0.500 0.750
H: 0.250 0.000 0.500
H: 0.500 0.250 0.000
H: 0.500 0.750 0.000
H: 0.750 0.000 0.500

As for the space-group type: No. 223. Its density of states at the Fermi level is 6.25 states/eV/f.u. Its crystal system is cubic.

***

Stability, highest: x

***

## w
Density functional theory data (PBE) for crystalline K2HIr at its relaxed geometry.

Lattice parameters (Å, degrees): 5.496 5.496 5.496 60.00 60.00 60.00
Element x y z (fractional)
K: 0.250 0.250 0.250
K: 0.750 0.750 0.750
H: 0.000 0.000 0.000
Ir: 0.500 0.500 0.500

As for the space-group type: No. 225. Its density of states at the Fermi level is 3.38 states/eV/f.u. Its crystal system is cubic.

***

## x
Density functional theory data (PBE) for crystalline K2HIr at its relaxed geometry.

Lattice parameters (Å, degrees): 8.159 8.159 8.159 92.55 92.55 155.65
Element x y z (fractional)
K: 0.375 0.165 0.290
K: 0.835 0.125 0.210
K: 0.875 0.085 0.710
K: 0.915 0.625 0.790
H: 0.000 0.000 0.000
H: 0.750 0.250 0.500
Ir: 0.250 0.750 0.500
Ir: 0.500 0.500 0.000

As for the space-group type: No. 122. Its density of states at the Fermi level is 0.01 states/eV/f.u. Its crystal system is tetragonal.

***

Stability, highest: x